# 1
This record from the Alexandria database describes a geometry-optimized KAc2B2S6 structure. The functional is PBE.

Geometry as POSCAR:
```
KAc2B2S6
1.0
6.1030 0.0000 0.0000
2.5486 5.5722 0.0000
0.5928 2.1942 8.0863
K Ac B S
1 2 2 6
direct
0.0000 0.0000 0.0000
0.3821 0.2767 0.6763
0.6179 0.7233 0.3237
0.3995 0.3402 0.2486
0.6005 0.6598 0.7514
0.1709 0.5976 0.3239
0.3128 0.8294 0.6253
0.3645 0.2296 0.0769
0.6355 0.7704 0.9231
0.6872 0.1706 0.3747
0.8291 0.4024 0.6761
```

Results
- Space-group type: P-1 (2)
- E_form (uncorrected): -1.2322 eV per atom



# 2
This record from the Alexandria database describes a geometry-optimized AcLaB12 structure. The functional is PBE.

Geometry as POSCAR:
```
AcLaB12
1.0
0.0000 4.1812 4.1812
4.1812 0.0000 4.1812
4.1812 4.1812 0.0000
Ac La B
1 1 12
direct
0.0000 0.0000 0.0000
0.5000 0.5000 0.5000
0.1001 0.1001 0.3999
0.1001 0.3999 0.1001
0.1001 0.3999 0.3999
0.3999 0.1001 0.1001
0.3999 0.1001 0.3999
0.3999 0.3999 0.1001
0.6001 0.6001 0.8999
0.6001 0.8999 0.6001
0.6001 0.8999 0.8999
0.8999 0.6001 0.6001
0.8999 0.6001 0.8999
0.8999 0.8999 0.6001
```

Results
- Space-group type: Fm-3m (225)
- ΔH_f (0 K): -7.7 eV/f.u.



# 3
This record from the Alexandria database describes a geometry-optimized AcLa3B4O12 structure. The functional is PBE.

Geometry as POSCAR:
```
AcLa3B4O12
1.0
5.2544 3.0337 3.0848
-5.2544 3.0337 3.0848
0.0000 -6.0673 3.0848
Ac La B O
1 3 4 12
direct
0.0000 0.0000 0.0000
0.0000 0.5272 0.4728
0.4728 0.0000 0.5272
0.5272 0.4728 0.0000
0.0297 0.5000 0.9703
0.5000 0.5000 0.5000
0.5000 0.9703 0.0297
0.9703 0.0297 0.5000
0.0260 0.6328 0.8384
0.1022 0.8978 0.5000
0.1616 0.3672 0.9740
0.3672 0.9740 0.1616
0.3682 0.6318 0.5000
0.5000 0.1022 0.8978
0.5000 0.3682 0.6318
0.6318 0.5000 0.3682
0.6328 0.8384 0.0260
0.8384 0.0260 0.6328
0.8978 0.5000 0.1022
0.9740 0.1616 0.3672
```

Results
- Space-group type: R32 (155)
- E_form (uncorrected): -3.0612 eV per atom



# 4
This record from the Alexandria database describes a geometry-optimized LiAcB12 structure. The functional is PBE.

Geometry as POSCAR:
```
LiAcB12
1.0
4.1906 0.0000 0.0000
0.0000 4.1906 0.0000
0.0000 0.0000 8.3381
Li Ac B
1 1 12
direct
0.0000 0.0000 0.0000
0.0000 0.0000 0.5000
0.2028 0.5000 0.2480
0.2028 0.5000 0.7520
0.5000 0.2028 0.2480
0.5000 0.2028 0.7520
0.5000 0.5000 0.1000
0.5000 0.5000 0.3980
0.5000 0.5000 0.6020
0.5000 0.5000 0.9000
0.5000 0.7972 0.2480
0.5000 0.7972 0.7520
0.7972 0.5000 0.2480
0.7972 0.5000 0.7520
```

Results
- Space-group type: P4/mmm (123)
- ΔH_f (0 K): -4.6 eV/f.u.



# 5
This record from the Alexandria database describes a geometry-optimized LiAcB4 structure. The functional is PBE.

Geometry as POSCAR:
```
LiAcB4
1.0
6.1506 0.0000 0.0000
0.0000 11.8442 0.0000
0.0000 0.0000 4.0152
Li Ac B
4 4 16
direct
0.1266 0.0812 0.0000
0.3734 0.5812 0.0000
0.6266 0.4188 0.0000
0.8734 0.9188 0.0000
0.1239 0.3475 0.0000
0.3761 0.8475 0.0000
0.6239 0.1525 0.0000
0.8761 0.6525 0.0000
0.0207 0.8131 0.5000
0.1118 0.9553 0.5000
0.1394 0.5315 0.5000
0.2224 0.6804 0.5000
0.2776 0.1804 0.5000
0.3606 0.0315 0.5000
0.3882 0.4553 0.5000
0.4793 0.3131 0.5000
0.5207 0.6869 0.5000
0.6118 0.5447 0.5000
0.6394 0.9685 0.5000
0.7224 0.8196 0.5000
0.7776 0.3196 0.5000
0.8606 0.4685 0.5000
0.8882 0.0447 0.5000
0.9793 0.1869 0.5000
```

Results
- Space-group type: Pbam (55)
- ΔH_f (0 K): -0.7 eV/f.u.



# 6
This record from the Alexandria database describes a geometry-optimized LiAcBN2 structure. The functional is PBE.

Geometry as POSCAR:
```
LiAcBN2
1.0
5.7245 0.0000 0.0000
0.0000 3.9426 0.0000
-1.4871 0.0000 6.0376
Li Ac B N
2 2 2 4
direct
0.0000 0.0268 0.2500
0.0000 0.9732 0.7500
0.5000 0.2392 0.7500
0.5000 0.7608 0.2500
0.0000 0.5000 0.0000
0.0000 0.5000 0.5000
0.1900 0.2807 0.0320
0.1900 0.7193 0.5320
0.8100 0.2807 0.4680
0.8100 0.7193 0.9680
```

Results
- Space-group type: P2/c (13)
- E_form (uncorrected): -0.8274 eV per atom



# 7
This record from the Alexandria database describes a geometry-optimized LiAc2Ni12B3 structure. The functional is PBE.

Geometry as POSCAR:
```
LiAc2Ni12B3
1.0
3.7656 2.1741 5.1137
-3.7656 2.1741 5.1137
0.0000 -4.3482 5.1137
Li Ac Ni B
1 2 12 3
direct
0.0000 0.0000 0.0000
0.3832 0.3832 0.3832
0.6168 0.6168 0.6168
0.1002 0.7110 0.7110
0.1135 0.1135 0.6379
0.1135 0.6379 0.1135
0.2890 0.2890 0.8998
0.2890 0.8998 0.2890
0.3621 0.8865 0.8865
0.6379 0.1135 0.1135
0.7110 0.1002 0.7110
0.7110 0.7110 0.1002
0.8865 0.3621 0.8865
0.8865 0.8865 0.3621
0.8998 0.2890 0.2890
0.0000 0.0000 0.5000
0.0000 0.5000 0.0000
0.5000 0.0000 0.0000
```

Results
- Space-group type: R-3m (166)
- ΔH_f (0 K): -0.3 eV/f.u.



# 8
This record from the Alexandria database describes a geometry-optimized LiAcBO4 structure. The functional is PBE.

Geometry as POSCAR:
```
LiAcBO4
1.0
2.6623 -4.4425 0.0000
2.6623 4.4425 0.0000
0.0000 0.0000 6.9440
Li Ac B O
2 2 2 8
direct
0.0000 0.0000 0.0000
0.0000 0.0000 0.5000
0.3133 0.6867 0.7500
0.6867 0.3133 0.2500
0.3398 0.6602 0.2500
0.6602 0.3398 0.7500
0.2050 0.3395 0.2500
0.2236 0.7764 0.0927
0.2236 0.7764 0.4073
0.3395 0.2050 0.7500
0.6605 0.7950 0.2500
0.7764 0.2236 0.5927
0.7764 0.2236 0.9073
0.7950 0.6605 0.7500
```

Results
- Space-group type: Cmcm (63)
- E_form (uncorrected): -2.4556 eV per atom



no.,E (eV per atom),total magnetization (μB per cell)
1,-5.54,0.00
2,-6.92,0.00
3,-8.32,0.00
4,-6.48,0.00
5,-5.58,0.00
6,-6.70,0.00
7,-5.55,0.00
8,-7.10,2.09